# 1
Entry from Alexandria via LeMat-Bulk: an optimized crystal structure of Li4ClF3 (PBE).

Cell and atoms, written as extended XYZ:
```
16
Lattice="-3.613 -2.472 2.916 3.506 -4.591 0.451 2.674 2.582 5.503" Properties=species:S:1:pos:R:3 pbc="T T T"
Li -1.439 -2.019 1.647
Li 2.637 -0.167 4.547
F 2.005 0.375 2.856
Cl 0.510 -0.736 0.098
Li 1.473 -1.290 2.152
Li 1.991 -2.528 6.488
Li 2.178 -3.894 0.768
F 1.379 -0.890 5.766
Cl 2.458 -3.847 4.617
F 4.280 -1.100 4.438
F 2.948 -2.386 1.698
Li -0.186 -1.357 4.734
Li 4.173 -2.725 3.257
F 0.036 -2.186 3.003
Li 0.481 -3.987 3.381
F 0.990 -4.939 1.836
```

***

# 2
Entry from Alexandria via LeMat-Bulk: an optimized crystal structure of Li2ClF8 (PBE).

Cell and atoms, written as extended XYZ:
```
11
Lattice="-0.018 -3.413 -3.600 -4.049 -1.866 4.236 -3.753 4.520 -1.819" Properties=species:S:1:pos:R:3 pbc="T T T"
Cl 0.000 0.000 0.000
F -6.477 0.043 -0.271
F -2.902 2.926 -1.631
F -4.003 -1.402 -1.674
F -4.918 -3.686 0.448
F -4.707 0.878 -3.879
F -3.817 0.643 0.491
Li -2.298 -2.029 -2.252
Li -5.522 1.269 1.069
F -3.114 -1.638 2.696
F -1.343 -0.803 -0.912
```

***

| no. | formation energy without anion corrections (kcal/mol of atoms) | size of the total moment (μB per atom) |
| --- | --- | --- |
| 1 | -60.898 | 0.02 |
| 2 | -30.252 | 0.09 |